Compound: Ca2MgZn
Source: the Alexandria database
Functional: GGA-PBE
Structure: optimized geometry

Properties
**Formation energy**: 50 meV per atom
**Size of the total moment**: 0.00 μB/cell
**SG**: P2/m (10)

Lattice parameters (Å, degrees): 5.546 3.715 6.501 90.00 113.69 90.00
Element x y z (fractional)
Ca (0.000, 0.000, 0.000)
Ca (0.000, 0.500, 0.500)
Mg (0.500, 0.000, 0.500)
Zn (0.500, 0.500, 0.000)